[1]
80
Lattice="-3.685 12.009 3.946 4.465 -6.836 10.330 9.544 1.076 -9.007" Properties=species:S:1:pos:R:3 comment="Y12Si3O5 (PBE-GGA, optimized geometry)" formation_energy_uncorrected_ev_per_atom=-1.640 energy_ev_per_atom=-7.5711 dos_at_fermi_per_ev_cell=58.2 pbc="T T T"
O 6.718 1.111 -0.770
Y -0.238 7.481 0.778
O 6.145 9.094 -3.631
O 0.000 0.000 0.000
Y 5.254 5.838 7.307
Y 5.514 11.191 -3.488
O 4.178 -2.845 8.899
Y 2.945 10.941 -0.946
Si 3.216 2.551 -1.100
Y 8.113 5.048 -2.844
Si 9.006 0.733 -4.806
Si 7.108 3.698 6.368
Y 7.432 -0.431 0.619
Y 4.809 -4.942 8.756
O 6.467 -3.223 4.863
Y 7.875 6.231 4.836
Y 6.432 2.380 -4.690
Y 5.319 5.584 2.306
O 3.857 9.472 0.405
Y 6.318 -1.225 5.760
Y 8.516 1.620 -1.921
Si 10.604 -3.674 2.776
Si 6.529 5.749 -0.416
Y 5.854 2.845 0.262
O 0.390 2.587 7.138
Y 1.207 3.624 12.379
Si 0.103 6.578 5.707
Y 9.398 -3.227 0.084
Y 3.891 3.869 9.958
Y 2.657 9.122 2.210
Y 5.629 1.457 7.833
Y 7.517 2.998 3.420
Y 0.926 9.476 5.184
Y 2.449 0.018 0.432
Y 7.989 7.573 1.440
O -1.843 6.005 1.973
O 4.772 0.538 -4.504
Y 10.561 -1.232 4.490
Y 0.819 7.910 8.365
Y 12.229 -1.439 1.467
Y 7.666 -2.874 3.058
Y 5.004 0.665 2.962
Y 4.470 3.404 5.006
O 3.989 1.793 9.253
Y 9.504 -1.661 -3.097
Y 2.334 -1.324 3.828
Si -0.280 9.923 2.492
Si 3.794 0.500 5.684
O 2.929 6.543 -2.531
Y 1.595 5.056 -1.051
Y 2.210 1.201 8.113
Y 5.070 0.410 -2.039
Y 10.224 1.295 2.152
O 0.927 2.929 2.936
O 2.232 -3.418 5.165
Y 4.694 4.792 -2.565
O 9.396 3.320 2.332
O 3.606 5.138 6.038
O 3.600 -0.793 2.115
O 5.162 3.124 2.634
Si 10.220 -0.329 -0.439
Y 0.099 4.954 3.116
Y 7.165 8.391 -1.819
Y 3.159 -2.142 7.087
O 7.004 -2.880 0.661
Si 1.317 5.516 10.074
Y 9.117 2.625 -7.110
Y 7.379 -4.692 6.214
O 6.724 7.042 3.153
O 6.334 4.456 -3.985
Y 8.728 1.193 6.319
Y 9.092 4.287 0.385
Y 2.806 3.251 1.848
Y -1.906 7.688 3.802
Y 1.231 1.962 4.883
Y 1.808 4.628 7.189
Y 4.005 7.474 -0.492
Si 7.931 0.049 3.597
Si 2.392 6.200 1.671
Y 2.891 6.680 4.649

---

[2]
20
Lattice="7.631 0.000 0.000 0.000 9.440 -0.240 0.000 -2.341 9.148" Properties=species:S:1:pos:R:3 comment="Y6Bi3Sb (PBE-GGA, optimized geometry)" formation_energy_uncorrected_ev_per_atom=-0.628 energy_ev_per_atom=-6.0825 dos_at_fermi_per_ev_cell=15.9 pbc="T T T"
Bi 6.365 4.529 3.673
Bi 3.733 6.967 6.330
Sb 3.825 7.487 1.316
Bi 7.549 0.132 2.577
Y 1.053 6.504 2.099
Bi 2.549 2.570 5.235
Bi 3.733 2.483 0.704
Y 1.945 -2.337 9.145
Y 1.831 -0.479 4.971
Y 1.831 2.146 8.265
Y 5.646 7.578 3.937
Y 1.141 5.416 5.468
Y 1.141 2.977 2.408
Y 4.957 4.122 6.499
Y 4.869 0.595 6.809
Y 4.957 1.683 3.439
Bi 7.549 4.616 8.204
Y 5.761 9.436 -0.237
Sb 0.009 -0.388 7.592
Y 5.646 4.952 0.643

---

[3]
4
Lattice="-1.796 -1.790 3.264 -1.674 -1.319 -1.645 2.745 -4.013 -0.691" Properties=species:S:1:pos:R:3 comment="LiBeW2 (PBE-GGA, optimized geometry)" e_form_mev_per_atom=351 energy_ev_per_atom=-7.5359 dos_at_fermi_per_ev_cell=2.1 pbc="T T T"
Be 0.261 -2.828 -1.408
W 2.682 -3.957 -0.695
Li 0.134 -4.736 0.093
W -0.522 -2.281 1.079

---

[4]
18
Lattice="-2.058 6.042 -6.563 -3.215 -8.558 -0.484 -4.959 1.687 3.108" Properties=species:S:1:pos:R:3 comment="U3TaSb5 (PBE-GGA, optimized geometry)" formation_energy_uncorrected_ev_per_atom=-0.267 energy_ev_per_atom=-7.6369 dos_at_fermi_per_ev_cell=38.6 pbc="T T T"
Ta -2.479 0.844 1.554
U -2.034 2.753 -1.756
U -4.983 4.975 -1.700
Sb -2.830 -3.692 -2.511
Sb -4.923 2.019 -2.983
U -4.478 -1.124 -3.551
U -2.481 -2.881 0.590
Sb -5.309 -2.848 -0.957
Sb -4.578 -1.021 2.201
U -5.754 0.294 -0.389
Sb -3.596 -5.850 0.422
Sb -2.748 4.849 -4.033
U -5.693 -3.990 2.033
Sb -2.444 1.175 -4.537
Sb -4.269 2.879 0.577
Ta 0.000 0.000 0.000
Sb -7.584 -0.579 -2.834
Sb -2.648 -0.251 -1.106

---

[5]
4
Lattice="0.000 3.498 3.498 3.498 0.000 3.498 3.498 3.498 0.000" Properties=species:S:1:pos:R:3 comment="HfTaI2 (PBE-GGA, optimized geometry)" formation_energy_uncorrected_ev_per_atom=0.707 relative_energy_ev_per_atom=0.024 energy_ev_per_atom=-5.5199 dos_at_fermi_per_ev_cell=7.5 pbc="T T T"
Ta 3.498 3.498 3.498
I 5.248 5.248 5.248
Hf 0.000 0.000 0.000
I 1.749 1.749 1.749

---

[6]
3
Lattice="-6.743 -1.695 0.271 -4.209 -3.425 4.355 4.547 4.906 -1.918" Properties=species:S:1:pos:R:3 comment="KTaSi (PBE-GGA, optimized geometry)" formation_energy_uncorrected_ev_per_atom=0.500 relative_energy_ev_per_atom=0.085 energy_ev_per_atom=-5.6241 dos_at_fermi_per_ev_cell=2.6 pbc="T T T"
Ta -7.981 -3.731 3.371
Si -2.958 -1.383 1.249
K -0.015 -0.007 0.006